# 1
Tl6InBi2 | GGA-PBE | optimized geometry

a b c (Å): 3.477 3.477 27.336
angles (deg): 90.00 90.00 120.00
Atoms (fractional coordinates):
Tl  0.000  0.000  0.067
Tl  0.000  0.000  0.284
Tl  0.000  0.000  0.716
Tl  0.000  0.000  0.933
Tl  0.333  0.667  0.399
Tl  0.333  0.667  0.601
In  0.000  0.000  0.500
Bi  0.333  0.667  0.174
Bi  0.333  0.667  0.826

Calculated values
Crystal system: hexagonal
Mass density (Mg/m³): 10.21
Symmetry: No. 187
Raw total energy (eV/cell): -24.5
Formation energy from the elements (eV per atom): 0.0173

# 2
Tl2In3Bi | GGA-PBE | optimized geometry

a b c (Å): 7.054 7.054 8.276
angles (deg): 90.00 90.00 120.00
Atoms (fractional coordinates):
Tl  0.000  0.000  0.000
Tl  0.000  0.500  0.000
Tl  0.500  0.000  0.000
Tl  0.500  0.500  0.000
In  0.164  0.328  0.665
In  0.164  0.836  0.665
In  0.328  0.164  0.335
In  0.672  0.836  0.665
In  0.836  0.164  0.335
In  0.836  0.672  0.335
Bi  0.333  0.667  0.351
Bi  0.667  0.333  0.649

Calculated values
Crystal system: trigonal
Mass density (Mg/m³): 8.96
Symmetry: No. 164
Raw total energy (eV/cell): -33.5
Formation energy from the elements (eV per atom): 0.0135

# 3
Tl9In2Bi | GGA-PBE | optimized geometry

a b c (Å): 4.887 4.887 15.369
angles (deg): 90.00 90.00 90.00
Atoms (fractional coordinates):
Tl  0.000  0.000  0.000
Tl  0.000  0.000  0.333
Tl  0.000  0.000  0.667
Tl  0.000  0.500  0.164
Tl  0.000  0.500  0.500
Tl  0.000  0.500  0.836
Tl  0.500  0.000  0.164
Tl  0.500  0.000  0.500
Tl  0.500  0.000  0.836
In  0.500  0.500  0.336
In  0.500  0.500  0.664
Bi  0.500  0.500  0.000

Calculated values
Crystal system: tetragonal
Mass density (Mg/m³): 10.31
Symmetry: No. 123
Raw total energy (eV/cell): -30.5
Formation energy from the elements (eV per atom): 0.0108

# 4
Tl2In2Bi | GGA-PBE | optimized geometry

a b c (Å): 9.344 9.344 9.344
angles (deg): 153.78 153.78 37.41
Atoms (fractional coordinates):
Tl  0.095  0.095  0.000
Tl  0.905  0.905  0.000
In  0.250  0.750  0.500
In  0.750  0.250  0.500
Bi  0.500  0.500  0.000

Calculated values
Crystal system: tetragonal
Mass density (Mg/m³): 8.85
Symmetry: No. 139
Raw total energy (eV/cell): -13.5
Formation energy from the elements (eV per atom): 0.1227

# 5
TlIn2Bi | GGA-PBE | optimized geometry

a b c (Å): 7.041 7.041 8.322
angles (deg): 90.00 90.00 142.52
Atoms (fractional coordinates):
Tl  0.051  0.949  0.750
Tl  0.949  0.051  0.250
In  0.383  0.617  0.547
In  0.383  0.617  0.953
In  0.617  0.383  0.047
In  0.617  0.383  0.453
Bi  0.231  0.769  0.250
Bi  0.769  0.231  0.750

Calculated values
Crystal system: orthorhombic
Mass density (Mg/m³): 8.50
Symmetry: No. 63
Raw total energy (eV/cell): -23.3
Formation energy from the elements (eV per atom): 0.0187

# 6
Tl6InBi | GGA-PBE | optimized geometry

a b c (Å): 7.047 7.047 4.969
angles (deg): 90.00 90.00 90.10
Atoms (fractional coordinates):
Tl  0.000  0.500  0.500
Tl  0.247  0.753  0.000
Tl  0.249  0.249  0.000
Tl  0.500  0.000  0.500
Tl  0.751  0.751  0.000
Tl  0.753  0.247  0.000
In  0.500  0.500  0.500
Bi  0.000  0.000  0.500

Calculated values
Crystal system: orthorhombic
Mass density (Mg/m³): 10.43
Symmetry: No. 65
Raw total energy (eV/cell): -20.9
Formation energy from the elements (eV per atom): -0.0053